{
  "formula": "Tm5As2Pb2",
  "functional": "GGA-PBE",
  "state": "relaxed",
  "mass_density_g_cm3": 10.0,
  "final_energy_ev_per_fu": -46.66,
  "cell": [[7.908, 0.000, 0.000], [0.000, 7.021, -3.609], [0.000, -0.099, 8.441]],
  "species": ["Tm", "Pb", "Pb", "Tm", "As", "Tm", "As", "Pb", "As", "As", "Tm", "Pb", "Tm", "Tm", "Tm", "Tm", "Tm", "Tm"],
  "frac_coords": [[0.339, 0.715, 0.749], [0.500, 0.706, 0.413], [0.500, 0.294, 0.587], [0.500, 0.500, 0.000], [0.645, 0.856, 0.000], [0.161, 0.466, 0.251], [0.145, 0.644, 0.000], [0.000, 0.794, 0.587], [0.855, 0.356, 0.000], [0.355, 0.144, 0.000], [0.661, 0.285, 0.251], [0.000, 0.206, 0.413], [0.661, 0.034, 0.749], [0.161, 0.215, 0.749], [0.339, 0.966, 0.251], [0.000, 0.000, 0.000], [0.839, 0.534, 0.749], [0.839, 0.785, 0.251]]
}